(1)
NaAc2Ga4Au3 | PBE | optimized geometry

Calculated values
Magnetic moment: 0.0 μB/f.u.
Symmetry: P-4m2 (115)
Formation energy from the elements: -0.541 eV/atom

a = 4.5046 Å, b = 4.5046 Å, c = 11.4292 Å
α = 90.00°, β = 90.00°, γ = 90.00°
Last column: nearest neighbours and their distance in Å.
Sites, in units of the cell vectors:
Na (0.5000, 0.5000, 0.5000)  4 Ga 2.80
Ac (0.5000, 0.0000, 0.2368)  6 Au 3.42-3.76, 8 Ga 3.46-3.52, 2 Na 3.76
Ac (0.0000, 0.5000, 0.7632)  6 Au 3.42-3.76, 8 Ga 3.46-3.52, 2 Na 3.76
Ga (0.5000, 0.5000, 0.0000)  4 Au 2.68
Ga (0.0000, 0.0000, 0.0000)  4 Au 2.68
Ga (0.5000, 0.0000, 0.6461)  3 Au 2.59-2.80, 2 Na 2.80
Ga (0.0000, 0.5000, 0.3539)  3 Au 2.59-2.80, 2 Na 2.80
Au (0.0000, 0.0000, 0.5000)  4 Ga 2.80
Au (0.5000, 0.0000, 0.8730)  5 Ga 2.59-2.68
Au (0.0000, 0.5000, 0.1270)  5 Ga 2.59-2.68

(2)
La3Tc4 | PBE | optimized geometry

Calculated values
Magnetic moment: 0.0 μB/f.u.
Symmetry: I4/mmm (139)
Energy above the most stable polymorph in this dataset: 0.0 kJ per mole of atoms
Formation energy from the elements: 0.156 eV/atom

a = 15.5189 Å, b = 15.5189 Å, c = 15.5189 Å
α = 168.26°, β = 168.26°, γ = 16.63°
Last column: nearest neighbours and their distance in Å.
Sites, in units of the cell vectors:
La (0.0000, 0.0000, 0.0000)  4 La 3.17, 8 Tc 3.29
La (0.6928, 0.6928, 0.0000)  4 La 3.17, 5 Tc 3.18-3.52
La (0.3072, 0.3072, 0.0000)  4 La 3.17, 5 Tc 3.18-3.52
Tc (0.8807, 0.8807, 0.0000)  4 Tc 2.57
Tc (0.5783, 0.5783, 0.0000)  4 Tc 2.57
Tc (0.4217, 0.4217, 0.0000)  4 Tc 2.57
Tc (0.1193, 0.1193, 0.0000)  4 Tc 2.57

(3)
ReRhCl2 | PBE | optimized geometry

Calculated values
Magnetic moment: 0.0 μB/f.u.
Symmetry: I-42d (122)
Energy above the most stable polymorph in this dataset: 79.8 kJ per mole of atoms
Energy relative to the elements, uncorrected: 797 meV per atom

a = 4.1823 Å, b = 4.1823 Å, c = 8.2056 Å
α = 75.24°, β = 75.24°, γ = 90.00°
Last column: nearest neighbours and their distance in Å.
Sites, in units of the cell vectors:
Re (0.0000, 0.0000, 0.0000)  4 Cl 2.39
Re (0.7500, 0.2500, 0.5000)  4 Cl 2.39
Rh (0.5000, 0.5000, 0.0000)  4 Cl 2.44
Rh (0.2500, 0.7500, 0.5000)  4 Cl 2.44
Cl (0.6391, 0.1250, 0.2500)  2 Re 2.39, 2 Rh 2.44
Cl (0.1109, 0.6250, 0.2500)  2 Re 2.39, 2 Rh 2.44
Cl (0.3750, 0.3609, 0.7500)  2 Re 2.39, 2 Rh 2.44
Cl (0.8750, 0.8891, 0.7500)  2 Re 2.39, 2 Rh 2.44

(4)
Cs2OsBr2Cl4 | PBE | optimized geometry

Calculated values
Magnetic moment: 2.0 μB/f.u.
Symmetry: I4/mmm (139)
Energy relative to the elements, uncorrected: -1116 meV per atom

a = 7.5419 Å, b = 7.5419 Å, c = 7.5419 Å
α = 91.48°, β = 119.15°, γ = 119.15°
Last column: nearest neighbours and their distance in Å.
Sites, in units of the cell vectors:
Cs (0.5000, 0.7500, 0.2500)  8 Cl 3.79, 4 Br 3.82
Cs (0.5000, 0.2500, 0.7500)  8 Cl 3.79, 4 Br 3.82
Os (0.0000, 0.0000, 0.0000)  4 Cl 2.35, 2 Br 2.52
Br (0.0000, 0.7606, 0.7606)  1 Os 2.52
Br (0.0000, 0.2394, 0.2394)  1 Os 2.52
Cl (0.0000, 0.7820, 0.2180)  1 Os 2.35
Cl (0.5640, 0.7820, 0.7820)  1 Os 2.35
Cl (0.0000, 0.2180, 0.7820)  1 Os 2.35
Cl (0.4360, 0.2180, 0.2180)  1 Os 2.35

(5)
CaY2Mg | PBE | optimized geometry

Calculated values
Magnetic moment: 0.0 μB/f.u.
Symmetry: I-4m2 (119)
Formation energy from the elements: 0.099 eV/atom

a = 6.0932 Å, b = 6.0932 Å, c = 6.0932 Å
α = 130.87°, β = 130.87°, γ = 72.02°
Last column: nearest neighbours and their distance in Å.
Sites, in units of the cell vectors:
Ca (0.5000, 0.5000, 0.0000)  4 Mg 3.53, 8 Y 3.53-3.58
Mg (0.7500, 0.2500, 0.5000)  4 Ca 3.53, 8 Y 3.53-3.58
Y (0.0000, 0.0000, 0.0000)  4 Y 3.53, 4 Mg 3.53, 4 Ca 3.58
Y (0.2500, 0.7500, 0.5000)  4 Ca 3.53, 4 Y 3.53, 4 Mg 3.58

(6)
MgCo4S8 | PBE | optimized geometry

Calculated values
Magnetic moment: 0.0 μB/f.u.
Symmetry: R-3m (166)
Energy above the most stable polymorph in this dataset: 0.0 kJ per mole of atoms
Energy relative to the elements, uncorrected: -427 meV per atom

a = 6.9551 Å, b = 6.9551 Å, c = 6.9551 Å
α = 57.55°, β = 57.55°, γ = 57.55°
Last column: nearest neighbours and their distance in Å.
Sites, in units of the cell vectors:
Mg (0.5000, 0.5000, 0.5000)  6 S 2.58
Co (0.5000, 0.5000, 0.0000)  6 S 2.25-2.26
Co (0.5000, 0.0000, 0.5000)  6 S 2.25-2.26
Co (0.0000, 0.5000, 0.5000)  6 S 2.25-2.26
Co (0.0000, 0.0000, 0.0000)  6 S 2.27
S (0.7648, 0.7648, 0.2687)  3 Co 2.25-2.27
S (0.7313, 0.2352, 0.2352)  3 Co 2.25-2.27
S (0.2352, 0.2352, 0.7313)  3 Co 2.25-2.27
S (0.2352, 0.7313, 0.2352)  3 Co 2.25-2.27
S (0.2660, 0.2660, 0.2660)  3 Co 2.26
S (0.7340, 0.7340, 0.7340)  3 Co 2.26
S (0.7648, 0.2687, 0.7648)  3 Co 2.25-2.27
S (0.2687, 0.7648, 0.7648)  3 Co 2.25-2.27

(7)
ThSc2Ir | PBE | optimized geometry

Calculated values
Magnetic moment: 0.0 μB/f.u.
Symmetry: Cmcm (63)
Energy above the most stable polymorph in this dataset: 0.9 kJ per mole of atoms
Formation energy from the elements: -0.557 eV/atom

a = 3.7357 Å, b = 6.0800 Å, c = 8.8162 Å
α = 90.00°, β = 90.00°, γ = 107.90°
Last column: nearest neighbours and their distance in Å.
Sites, in units of the cell vectors:
Th (0.9353, 0.8702, 0.2500)  2 Ir 2.89
Th (0.0647, 0.1298, 0.7500)  2 Ir 2.89
Sc (0.3552, 0.7105, 0.5657)  3 Ir 2.73-3.06
Sc (0.6448, 0.2895, 0.4343)  3 Ir 2.73-3.06
Sc (0.3552, 0.7105, 0.9343)  3 Ir 2.73-3.06
Sc (0.6448, 0.2895, 0.0657)  3 Ir 2.73-3.06
Ir (0.7549, 0.5100, 0.7500)  6 Sc 2.73-3.06, 2 Th 2.89
Ir (0.2451, 0.4900, 0.2500)  6 Sc 2.73-3.06, 2 Th 2.89

(8)
Sm3Ho5Mg | PBE | optimized geometry

Calculated values
Magnetic moment: 0.0 μB/f.u.
Symmetry: I4/mcm (140)
Formation energy from the elements: 0.250 eV/atom

a = 9.2095 Å, b = 9.2095 Å, c = 9.4458 Å
α = 119.18°, β = 119.18°, γ = 90.00°
Last column: nearest neighbours and their distance in Å.
Sites, in units of the cell vectors:
Sm (0.6145, 0.1145, 0.0000)  1 Sm 2.98, 2 Ho 3.09
Sm (0.3855, 0.8855, 0.0000)  1 Sm 2.98, 2 Ho 3.09
Sm (0.8855, 0.6145, 0.0000)  1 Sm 2.98, 2 Ho 3.09
Sm (0.1145, 0.3855, 0.0000)  1 Sm 2.98, 2 Ho 3.09
Sm (0.2500, 0.2500, 0.5000)  10 Ho 3.42-3.70
Sm (0.7500, 0.7500, 0.5000)  10 Ho 3.42-3.70
Ho (0.0608, 0.5608, 0.7335)  1 Mg 2.99, 1 Sm 3.09
Ho (0.6727, 0.1727, 0.7335)  1 Mg 2.99, 1 Sm 3.09
Ho (0.1727, 0.0608, 0.7335)  1 Mg 2.99, 1 Sm 3.09
Ho (0.5608, 0.6727, 0.7335)  1 Mg 2.99, 1 Sm 3.09
Ho (0.9392, 0.4392, 0.2666)  1 Mg 2.99, 1 Sm 3.09
Ho (0.3273, 0.8273, 0.2666)  1 Mg 2.99, 1 Sm 3.09
Ho (0.8273, 0.9392, 0.2666)  1 Mg 2.99, 1 Sm 3.09
Ho (0.4392, 0.3273, 0.2666)  1 Mg 2.99, 1 Sm 3.09
Ho (0.5000, 0.5000, 0.0000)  6 Sm 3.42-3.70, 8 Ho 3.80
Ho (0.0000, 0.0000, 0.0000)  6 Sm 3.42-3.70, 8 Ho 3.80
Mg (0.7500, 0.2500, 0.5000)  4 Ho 2.99
Mg (0.2500, 0.7500, 0.5000)  4 Ho 2.99

(9)
NiAg2Ir | PBE | optimized geometry

Calculated values
Magnetic moment: 1.0 μB/f.u.
Symmetry: Pm (6)
Energy above the most stable polymorph in this dataset: 0.0 kJ per mole of atoms
Formation energy from the elements: 0.203 eV/atom

a = 2.7771 Å, b = 2.7639 Å, c = 8.4518 Å
α = 70.81°, β = 90.00°, γ = 90.00°
Last column: nearest neighbours and their distance in Å.
Sites, in units of the cell vectors:
Ag (0.0000, 0.0221, 0.9774)  8 Ag 2.76-2.99, 4 Ni 2.77
Ag (0.5000, 0.2414, 0.2593)  8 Ag 2.76-2.99, 4 Ir 2.92
Ir (0.0000, 0.4695, 0.5311)  4 Ni 2.53, 4 Ir 2.76-2.78
Ni (0.5000, 0.7670, 0.7322)  4 Ir 2.53, 4 Ni 2.76-2.78, 4 Ag 2.77

(10)
Hg3SCl2 | PBE | optimized geometry

Calculated values
Magnetic moment: 0.0 μB/f.u.
Symmetry: P-1 (2)
Energy relative to the elements, uncorrected: -325 meV per atom

a = 6.7213 Å, b = 6.6976 Å, c = 12.1948 Å
α = 61.52°, β = 90.71°, γ = 115.45°
Last column: nearest neighbours and their distance in Å.
Sites, in units of the cell vectors:
Hg (0.6597, 0.7753, 0.8024)  1 S 2.35, 1 Cl 2.36
Hg (0.3403, 0.2247, 0.1976)  1 S 2.35, 1 Cl 2.36
Hg (0.8235, 0.6348, 0.5647)  1 Cl 2.39, 1 S 2.39
Hg (0.9553, 0.1998, 0.8671)  2 Hg 3.15-3.33, 1 Cl 3.46
Hg (0.0447, 0.8002, 0.1329)  2 Hg 3.15-3.33, 1 Cl 3.46
Hg (0.1765, 0.3652, 0.4353)  1 Cl 2.39, 1 S 2.39
S (0.0220, 0.1487, 0.3216)  2 Hg 2.35-2.39
S (0.9780, 0.8513, 0.6784)  2 Hg 2.35-2.39
Cl (0.3335, 0.6703, 0.5026)  1 Hg 2.39
Cl (0.3232, 0.6704, 0.9255)  1 Hg 2.36
Cl (0.6768, 0.3296, 0.0745)  1 Hg 2.36
Cl (0.6666, 0.3297, 0.4974)  1 Hg 2.39

(11)
LiSbAu2 | PBE | optimized geometry

Calculated values
Magnetic moment: 0.0 μB/f.u.
Symmetry: C2/m (12)
Energy relative to the elements, uncorrected: -207 meV per atom

a = 5.1210 Å, b = 5.9097 Å, c = 3.0032 Å
α = 74.31°, β = 92.15°, γ = 116.28°
Last column: nearest neighbours and their distance in Å.
Sites, in units of the cell vectors:
Au (0.0000, 0.0000, 0.0000)  6 Au 2.92-3.02, 2 Sb 2.93, 2 Li 2.93
Au (0.5000, 0.0000, 0.5000)  6 Au 2.92-3.02, 2 Li 2.93, 2 Sb 2.93
Li (0.0000, 0.5000, 0.5000)  4 Sb 2.92-3.02, 4 Au 2.93, 2 Li 3.00
Sb (0.5000, 0.5000, 0.0000)  4 Li 2.92-3.02, 4 Au 2.93, 2 Sb 3.00

(12)
AcSmCuP | PBE | optimized geometry

Calculated values
Magnetic moment: 0.0 μB/f.u.
Symmetry: F-43m (216)
Formation energy from the elements: -0.502 eV/atom

a = 5.1648 Å, b = 5.1648 Å, c = 5.1648 Å
α = 60.00°, β = 60.00°, γ = 60.00°
Last column: nearest neighbours and their distance in Å.
Sites, in units of the cell vectors:
P (0.5000, 0.5000, 0.5000)  4 Ac 3.16, 4 Sm 3.16
Ac (0.2500, 0.2500, 0.2500)  4 Cu 3.16, 4 P 3.16
Cu (0.0000, 0.0000, 0.0000)  4 Sm 3.16, 4 Ac 3.16
Sm (0.7500, 0.7500, 0.7500)  4 P 3.16, 4 Cu 3.16